VASP calculation (PBE-GGA) on a geometry-optimized Tl5Br structure.

## Properties
**Formation energy from raw total energies**: -172 meV per atom
**Energy above the most stable polymorph in this dataset**: 6 meV per atom

Unit cell a=11.998 b=3.872 c=8.755 alpha=90.00 beta=111.64 gamma=90.00
Space group Cm (No. 8)
Inequivalent atoms, fractional coordinates:
Tl 0.000 0.000 0.000 (multiplicity 2)
Tl 0.014 0.000 0.503 (multiplicity 2)
Tl 0.167 0.500 0.829 (multiplicity 2)
Tl 0.183 0.500 0.335 (multiplicity 2)
Tl 0.341 0.000 0.166 (multiplicity 2)
Br 0.342 0.000 0.667 (multiplicity 2)